1.
Entry from Alexandria: crystalline CuHg2B at its relaxed geometry (PBE).

a = 7.801 Å, b = 7.801 Å, c = 7.801 Å
α = 143.76°, β = 143.76°, γ = 52.19°
Sites, in units of the cell vectors:
Cu  0.000  0.000  0.000
Cu  0.750  0.250  0.500
Hg  0.193  0.625  0.068
Hg  0.375  0.443  0.568
Hg  0.557  0.125  0.932
Hg  0.875  0.807  0.432
B  0.250  0.750  0.500
B  0.500  0.500  0.000



2.
Entry from Alexandria: crystalline LiNpB12 at its relaxed geometry (PBE).

a = 4.110 Å, b = 4.110 Å, c = 8.239 Å
α = 90.00°, β = 90.00°, γ = 90.00°
Sites, in units of the cell vectors:
Li  0.000  0.000  0.000
Np  0.000  0.000  0.500
B  0.200  0.500  0.252
B  0.200  0.500  0.748
B  0.500  0.200  0.252
B  0.500  0.200  0.748
B  0.500  0.500  0.101
B  0.500  0.500  0.401
B  0.500  0.500  0.599
B  0.500  0.500  0.899
B  0.500  0.800  0.252
B  0.500  0.800  0.748
B  0.800  0.500  0.252
B  0.800  0.500  0.748



3.
Entry from Alexandria: crystalline InAg2Pb2 at its relaxed geometry (PBE).

Computed properties:
Energy relative to the lowest polymorph listed for this composition (meV/atom): 79

a = 8.820 Å, b = 8.820 Å, c = 3.348 Å
α = 90.00°, β = 90.00°, γ = 90.00°
Sites, in units of the cell vectors:
In  0.000  0.000  0.000
In  0.500  0.500  0.000
Ag  0.150  0.350  0.500
Ag  0.350  0.850  0.500
Ag  0.650  0.150  0.500
Ag  0.850  0.650  0.500
Pb  0.147  0.647  0.000
Pb  0.353  0.147  0.000
Pb  0.647  0.853  0.000
Pb  0.853  0.353  0.000



| no. | spin magnetization (μB/cell) | VASP energy (eV/atom) | ΔH_f (0 K) (kJ per mole of atoms) |
| --- | --- | --- | --- |
| 1 | 0.00 | -1.8772 | 93.3 |
| 2 | 3.91 | -6.9599 | -16.9 |
| 3 | 0.00 | -3.0232 | 14.3 |